Li2BF after structural relaxation, computed with PBE.

a b c (Å): 5.3453 5.3453 6.5173
angles (deg): 90.00 90.00 90.00
Space group I-42d (No. 122)
Symmetry-distinct sites (fractional):
Li: 0.1718 0.2500 0.1250 (multiplicity 8)
B: 0.0000 0.0000 0.5000 (multiplicity 4)
F: 0.0000 0.0000 0.0000 (multiplicity 4)

Computed properties:
Relative energy among the computed polymorphs in eV per atom: 0.000
Formation energy without anion corrections in eV per atom: -0.6041

---

Th2TlRh after structural relaxation, computed with PBE.

a b c (Å): 3.5736 3.5736 8.1988
angles (deg): 90.00 90.00 90.00
Space group P4/mmm (No. 123)
Symmetry-distinct sites (fractional):
Th: 0.0000 0.0000 0.2107 (multiplicity 2)
Tl: 0.5000 0.5000 0.5000 (multiplicity 1)
Rh: 0.5000 0.5000 0.0000 (multiplicity 1)

Computed properties:
Relative energy among the computed polymorphs in eV per atom: 0.024

---

LaFe2Pt after structural relaxation, computed with PBE.

a b c (Å): 4.0643 4.0643 8.7318
angles (deg): 90.00 90.00 90.00
Space group I4/mmm (No. 139)
Symmetry-distinct sites (fractional):
La: 0.0000 0.0000 0.0000 (multiplicity 2)
Fe: 0.0000 0.5000 0.2500 (multiplicity 4)
Pt: 0.0000 0.0000 0.5000 (multiplicity 2)

Computed properties:
Raw total energy in eV/cell: -55.5

---

Ba2OsCl after structural relaxation, computed with PBE.

a b c (Å): 7.0241 7.0241 14.2605
angles (deg): 90.00 90.00 90.00
Space group I-42d (No. 122)
Symmetry-distinct sites (fractional):
Ba: 0.2196 0.2500 0.1250 (multiplicity 8)
Os: 0.0000 0.0000 0.0000 (multiplicity 4)
Cl: 0.0000 0.0000 0.5000 (multiplicity 4)

Computed properties:
Relative energy among the computed polymorphs in eV per atom: 0.281
Formation energy without anion corrections in eV per atom: -0.0621

---

MgPAu2 after structural relaxation, computed with PBE.

a b c (Å): 6.5537 6.5537 6.5537
angles (deg): 90.00 90.00 90.00
Space group Fm-3m (No. 225)
Symmetry-distinct sites (fractional):
Mg: 0.0000 0.0000 0.0000 (multiplicity 4)
P: 0.0000 0.0000 0.5000 (multiplicity 4)
Au: 0.2500 0.2500 0.2500 (multiplicity 8)

Computed properties:
Relative energy among the computed polymorphs in eV per atom: 0.137

---

Li2ZrI after structural relaxation, computed with PBE.

a b c (Å): 6.9711 6.9711 6.9711
angles (deg): 90.00 90.00 90.00
Space group Fm-3m (No. 225)
Symmetry-distinct sites (fractional):
Li: 0.2500 0.2500 0.2500 (multiplicity 8)
Zr: 0.0000 0.0000 0.0000 (multiplicity 4)
I: 0.0000 0.0000 0.5000 (multiplicity 4)

Computed properties:
Relative energy among the computed polymorphs in eV per atom: 0.317
Formation energy without anion corrections in eV per atom: 0.4798

---

NbHgTe3 after structural relaxation, computed with PBE.

a b c (Å): 5.4564 5.4564 5.4564
angles (deg): 90.00 90.00 90.00
Space group Pm-3m (No. 221)
Symmetry-distinct sites (fractional):
Nb: 0.0000 0.0000 0.0000 (multiplicity 1)
Hg: 0.5000 0.5000 0.5000 (multiplicity 1)
Te: 0.0000 0.0000 0.5000 (multiplicity 3)

Computed properties:
Relative energy among the computed polymorphs in eV per atom: 0.000
Formation energy without anion corrections in eV per atom: 0.0650

---

Zr2AlCr2 after structural relaxation, computed with PBE.

a b c (Å): 6.6215 6.6215 3.9976
angles (deg): 90.00 90.00 90.00
Space group P4/mbm (No. 127)
Symmetry-distinct sites (fractional):
Zr: 0.1851 0.3149 0.0000 (multiplicity 4)
Al: 0.0000 0.0000 0.5000 (multiplicity 2)
Cr: 0.1064 0.6064 0.5000 (multiplicity 4)

Computed properties:
Raw total energy in eV/cell: -80.4

---

Calculated size of the total moment (μB/cell), listed in the same order as above: 0.000; 0.001; 10.442; 4.000; 0.000; 0.000; 0.000; 0.000